[1]
Compound: CaPW2
Source: the Alexandria database
Functional: GGA-PBE
Structure: relaxed

For the energy above the most stable polymorph in this dataset, the calculation gives 420 meV per atom. For the uncorrected energy, the calculation gives -7.82 eV/atom. Its size of the total moment is 0.0 μB per formula unit. As for the formation energy: 0.512 eV per atom.

The space group is Cmmm (No. 65) and the conventional cell measures 3.3725, 4.7386 and 8.8046 Å, with angles of 90.00, 90.00 and 90.00 degrees. Symmetry generates all atoms from Ca at (0.0000, 0.0000, 0.0000), P at (0.0000, 0.0000, 0.5000) and W at (0.0000, 0.5000, 0.3003).



[2]
Compound: Ga3NiTe
Source: the Alexandria database
Functional: GGA-PBE
Structure: relaxed

For the energy above the most stable polymorph in this dataset, the calculation gives 0 meV per atom. For the uncorrected energy, the calculation gives -3.75 eV/atom. Its size of the total moment is 0.0 μB per formula unit.

The space group is Pm-3m (No. 221) and the conventional cell measures 4.7220, 4.7220 and 4.7220 Å, with angles of 90.00, 90.00 and 90.00 degrees. Symmetry generates all atoms from Ga at (0.0000, 0.0000, 0.5000), Ni at (0.0000, 0.0000, 0.0000) and Te at (0.5000, 0.5000, 0.5000).